First-principles (PBE) data for an optimized crystal structure of Sm2DyTmTl4, as listed in Alexandria via LeMat-Bulk.

CIF file:
```
data_Sm2DyTmTl4
_space_group_name_H-M_alt 'P 1'
_space_group_IT_number 1
_space_group_name_Hall 'P 1'
_cell_length_a 5.398
_cell_length_b 5.398
_cell_length_c 9.370
_cell_angle_alpha 73.26
_cell_angle_beta 73.26
_cell_angle_gamma 60.00
loop_
_atom_site_label
_atom_site_fract_x
_atom_site_fract_y
_atom_site_fract_z
Tl1 0.375 0.375 0.874
Tl2 0.875 0.875 0.376
Tl3 0.625 0.625 0.126
Tl4 0.125 0.125 0.624
Tm1 0.500 0.500 0.500
Dy1 0.000 0.000 0.000
Sm1 0.250 0.250 0.251
Sm2 0.750 0.750 0.749
```

ΔH_f (0 K): -345 meV per atom
Crystal system: trigonal
Space group: R-3m (166)

=====

First-principles (PBE) data for an optimized crystal structure of Li2MnZn2Au5, as listed in Alexandria via LeMat-Bulk.

CIF file:
```
data_Li2MnZn2Au5
_space_group_name_H-M_alt 'P 1'
_space_group_IT_number 1
_space_group_name_Hall 'P 1'
_cell_length_a 3.450
_cell_length_b 10.156
_cell_length_c 10.156
_cell_angle_alpha 90.00
_cell_angle_beta 90.00
_cell_angle_gamma 90.00
loop_
_atom_site_label
_atom_site_fract_x
_atom_site_fract_y
_atom_site_fract_z
Au1 0.500 0.524 0.706
Au2 0.500 0.794 0.976
Au3 0.500 0.206 0.024
Au4 0.500 0.706 0.476
Au5 0.500 0.294 0.524
Au6 0.500 0.024 0.794
Au7 0.500 0.976 0.206
Au8 0.500 0.500 0.000
Au9 0.500 0.476 0.294
Au10 0.500 0.000 0.500
Li1 0.000 0.664 0.164
Li2 0.000 0.336 0.836
Li3 0.000 0.836 0.664
Li4 0.000 0.164 0.336
Zn1 0.000 0.140 0.640
Zn2 0.000 0.360 0.140
Zn3 0.000 0.640 0.860
Zn4 0.000 0.860 0.360
Mn1 0.000 0.500 0.500
Mn2 0.000 0.000 0.000
```

ΔH_f (0 K): -243 meV per atom
Crystal system: tetragonal
Space group: P4/mbm (127)

=====

First-principles (PBE) data for an optimized crystal structure of FeSiSe2, as listed in Alexandria via LeMat-Bulk.

CIF file:
```
data_FeSiSe2
_space_group_name_H-M_alt 'P 1'
_space_group_IT_number 1
_space_group_name_Hall 'P 1'
_cell_length_a 3.697
_cell_length_b 3.697
_cell_length_c 6.527
_cell_angle_alpha 73.51
_cell_angle_beta 73.51
_cell_angle_gamma 60.04
loop_
_atom_site_label
_atom_site_fract_x
_atom_site_fract_y
_atom_site_fract_z
Si1 0.750 0.750 0.750
Se1 0.998 0.998 0.005
Se2 0.502 0.502 0.495
Fe1 0.250 0.250 0.250
```

Crystal system: monoclinic
Space group: C2/m (12)
ΔE_f (raw): 7 kJ/mol of atoms